No. 1
First-principles (PBE) data for a relaxed LiCr2NiRh crystal, as listed in Alexandria. Values from VASP.

```
&SYSTEM
  ibrav = 0, nat = 5, ntyp = 4
/
ATOMIC_SPECIES
Cr 52.00 Cr.upf
Li 6.94 Li.upf
Rh 102.91 Rh.upf
Ni 58.69 Ni.upf
CELL_PARAMETERS angstrom
-0.011 -1.421 3.959
4.530 -0.915 -0.316
0.879 3.871 1.391
ATOMIC_POSITIONS angstrom
Cr 0.439 1.936 0.696
Li 2.699 0.768 2.517
Rh 2.265 -0.457 -0.158
Ni 0.000 0.000 0.000
Cr -0.005 -0.710 1.980
```

Calculated values
Spin magnetization in μB per cell: 0.00
Energy in eV per atom: -5.650
SG: No. 123
Energy of formation in meV per atom: 1209
Volume in Å³/cell: 82.0


No. 2
First-principles (PBE) data for a relaxed ScMnSi crystal, as listed in Alexandria. Values from VASP.

```
&SYSTEM
  ibrav = 0, nat = 3, ntyp = 3
/
ATOMIC_SPECIES
Si 28.09 Si.upf
Mn 54.94 Mn.upf
Sc 44.96 Sc.upf
CELL_PARAMETERS angstrom
3.335 0.000 0.000
-1.667 2.888 0.000
0.000 0.000 5.343
ATOMIC_POSITIONS angstrom
Si 0.000 1.925 3.792
Mn 0.000 0.000 5.063
Sc 1.667 0.963 1.831
```

Calculated values
Spin magnetization in μB per cell: 1.73
Energy in eV per atom: -7.015
SG: No. 156
Formation energy from raw total energies in kcal/mol of atoms: -0.9
Volume in Å³/cell: 51.5


Question: Which value of spin magnetization does entry 2 give?
Answer: 1.73 μB per cell


Question: Which of these has the lowest energy?
Answer: ScMnSi


Question: Which of these has the lowest volume?
Answer: ScMnSi